# VAg3Pd (PBE, relaxed)
# E, eV/atom: -3.48
# Formation energy, eV/atom: 1.0900
# Total magnetic moment, μB/f.u.: 3.7
# ΔE to the lowest computed polymorph, meV/atom: 0
data_VAg3Pd
_chemical_formula_sum 'V1 Ag3 Pd1'
_symmetry_space_group_name_H-M 'P m -3 m'
_symmetry_Int_Tables_number 221
_symmetry_space_group_name_Hall '-P 4 2 3'
_cell_length_a 4.996
_cell_length_b 4.996
_cell_length_c 4.996
_cell_angle_alpha 90.00
_cell_angle_beta 90.00
_cell_angle_gamma 90.00
loop_
_atom_site_label
_atom_site_type_symbol
_atom_site_fract_x
_atom_site_fract_y
_atom_site_fract_z
V1 V 0.000 0.000 0.000
Ag1 Ag 0.000 0.500 0.500
Pd1 Pd 0.500 0.500 0.500